1.
AsRuW2 after structural relaxation, computed with GGA-PBEsol.

Properties
The density comes out at 15.23 Mg/m³. The calculated total energy comes out at -10.5134 eV/atom.

Cell lengths 2.7914, 4.0741, 5.3030 Å; angles 90.00, 100.64, 90.00 degrees
With the nearest neighbours (Å) after each atom.
Atoms (fractional coordinates):
As 0.0000 0.0000 0.0000  4 W 2.62, 2 Ru 2.65, 2 As 2.79
Ru 0.0000 0.0000 0.5000  2 As 2.65, 8 W 2.74-2.86, 2 Ru 2.79
W 0.4549 0.5000 0.2493  4 W 2.62-2.79, 2 As 2.62, 4 Ru 2.74-2.86
W 0.5451 0.5000 0.7507  4 W 2.62-2.79, 2 As 2.62, 4 Ru 2.74-2.86


2.
K2YMg after structural relaxation, computed with GGA-PBEsol.

Properties
The density comes out at 2.04 Mg/m³. The calculated total energy comes out at -2.2926 eV/atom.

Cell lengths 13.6160, 13.6160, 13.6160 Å; angles 15.44, 15.44, 15.44 degrees
With the nearest neighbours (Å) after each atom.
Atoms (fractional coordinates):
K 0.2462 0.2462 0.2462  6 K 3.66, 3 Mg 3.84
K 0.7538 0.7538 0.7538  6 K 3.66, 3 Mg 3.84
Y 0.0000 0.0000 0.0000  6 Y 3.66
Mg 0.5000 0.5000 0.5000  6 Mg 3.66, 6 K 3.84


3.
ZrMoIr3 after structural relaxation, computed with GGA-PBEsol.

Properties
The density comes out at 12.74 Mg/m³. The calculated total energy comes out at -8.9612 eV/atom.

Cell lengths 4.6351, 4.6351, 4.6351 Å; angles 90.00, 90.00, 90.00 degrees
With the nearest neighbours (Å) after each atom.
Atoms (fractional coordinates):
Zr 0.0000 0.0000 0.0000  12 Ir 3.28
Mo 0.5000 0.5000 0.5000  6 Ir 2.32
Ir 0.0000 0.5000 0.5000  2 Mo 2.32
Ir 0.5000 0.0000 0.5000  2 Mo 2.32
Ir 0.5000 0.5000 0.0000  2 Mo 2.32


4.
MgZrCdAu2 after structural relaxation, computed with GGA-PBEsol.

Properties
The density comes out at 7.23 Mg/m³. The calculated total energy comes out at -3.3065 eV/atom.

Cell lengths 5.1221, 5.1221, 5.4463 Å; angles 90.00, 90.00, 90.00 degrees
With the nearest neighbours (Å) after each atom.
Atoms (fractional coordinates):
Mg 0.0000 0.0000 0.0000  4 Cd 3.62, 8 Au 3.74
Zr 0.5000 0.5000 0.5000  4 Au 2.56, 2 Cd 2.72
Cd 0.5000 0.5000 0.0000  2 Zr 2.72
Au 0.0000 0.5000 0.5000  2 Zr 2.56
Au 0.5000 0.0000 0.5000  2 Zr 2.56


5.
BaZrTe2 after structural relaxation, computed with GGA-PBEsol.

Properties
The density comes out at 7.04 Mg/m³. The calculated total energy comes out at -5.4185 eV/atom. The energy relative to the elements, uncorrected is -3.38 eV per formula unit.

Cell lengths 5.4440, 5.4440, 5.4440 Å; angles 60.00, 60.00, 60.00 degrees
With the nearest neighbours (Å) after each atom.
Atoms (fractional coordinates):
Ba 0.0000 0.0000 0.0000  8 Te 3.33
Zr 0.5000 0.5000 0.5000  8 Te 3.33
Te 0.2500 0.2500 0.2500  4 Ba 3.33, 4 Zr 3.33
Te 0.7500 0.7500 0.7500  4 Zr 3.33, 4 Ba 3.33


6.
CdAgAu2 after structural relaxation, computed with GGA-PBEsol.

Properties
The density comes out at 14.71 Mg/m³. The calculated total energy comes out at -3.2257 eV/atom.

Cell lengths 4.9875, 4.9875, 4.9875 Å; angles 130.90, 130.90, 71.97 degrees
With the nearest neighbours (Å) after each atom.
Atoms (fractional coordinates):
Cd 0.0000 0.0000 0.0000  8 Au 2.89, 4 Ag 2.93
Ag 0.5000 0.5000 0.0000  8 Au 2.89, 4 Cd 2.93
Au 0.2500 0.7500 0.5000  4 Cd 2.89, 4 Ag 2.89, 4 Au 2.93
Au 0.7500 0.2500 0.5000  4 Cd 2.89, 4 Ag 2.89, 4 Au 2.93